[1]
A plane-wave DFT calculation with PBE was carried out for crystalline Ba2Tl3In4Pb at its relaxed geometry.

Properties
Magnetization, μB per cell: 0.00
Final energy, eV per atom: -2.824
Density of states at the Fermi level, states/eV per cell: 3.7
Formation enthalpy at 0 K, eV/atom: -0.26

Cell: 5.3112 5.3112 11.8976 Å, 90.00 90.00 90.00°
Positions (direct):
Ba 0.5000 0.0000 0.2483
Ba 0.0000 0.5000 0.7517
Tl 0.0000 0.0000 0.5000
Tl 0.5000 0.0000 0.8723
Tl 0.0000 0.5000 0.1277
In 0.5000 0.5000 0.0000
In 0.0000 0.0000 0.0000
In 0.5000 0.0000 0.6284
In 0.0000 0.5000 0.3716
Pb 0.5000 0.5000 0.5000


[2]
A plane-wave DFT calculation with PBE was carried out for crystalline Ba3Tl6InPb2 at its relaxed geometry.

Properties
Magnetization, μB per cell: 0.00
Final energy, eV per atom: -2.700
Density of states at the Fermi level, states/eV per cell: 7.1
Formation enthalpy at 0 K, eV/atom: -0.19

Cell: 6.6397 6.6397 11.1451 Å, 90.00 90.00 120.00°
Positions (direct):
Ba 0.3333 0.6667 0.5866
Ba 0.6667 0.3333 0.4134
Ba 0.0000 0.0000 0.0000
Tl 0.6558 0.8279 0.2687
Tl 0.1721 0.3442 0.2687
Tl 0.1721 0.8279 0.2687
Tl 0.8279 0.6558 0.7313
Tl 0.3442 0.1721 0.7313
Tl 0.8279 0.1721 0.7313
In 0.0000 0.0000 0.5000
Pb 0.6667 0.3333 0.9916
Pb 0.3333 0.6667 0.0084


[3]
A plane-wave DFT calculation with PBE was carried out for crystalline Ba2Tl7InPb2 at its relaxed geometry.

Properties
Magnetization, μB per cell: 0.00
Final energy, eV per atom: -2.705
Density of states at the Fermi level, states/eV per cell: 7.0
Formation enthalpy at 0 K, eV/atom: -0.16

Cell: 4.9583 4.9583 17.0096 Å, 85.22 85.22 88.66°
Positions (direct):
Ba 0.9018 0.9018 0.3355
Ba 0.0982 0.0982 0.6645
Tl 0.5000 0.5000 0.0000
Tl 0.3034 0.3034 0.4636
Tl 0.6966 0.6966 0.5364
Tl 0.9583 0.4558 0.1483
Tl 0.4558 0.9583 0.1483
Tl 0.5442 0.0417 0.8517
Tl 0.0417 0.5442 0.8517
In 0.0000 0.0000 0.0000
Pb 0.5788 0.5788 0.7224
Pb 0.4212 0.4212 0.2776


[4]
A plane-wave DFT calculation with PBE was carried out for crystalline Ba3Tl6In2Pb at its relaxed geometry.

Properties
Magnetization, μB per cell: 0.00
Final energy, eV per atom: -2.628
Density of states at the Fermi level, states/eV per cell: 5.9
Formation enthalpy at 0 K, eV/atom: -0.20

Cell: 6.6002 6.6002 11.3204 Å, 90.00 90.00 120.00°
Positions (direct):
Ba 0.3333 0.6667 0.5821
Ba 0.6667 0.3333 0.4179
Ba 0.0000 0.0000 0.0000
Tl 0.6575 0.8287 0.2570
Tl 0.1713 0.3425 0.2570
Tl 0.1713 0.8287 0.2570
Tl 0.8287 0.6575 0.7430
Tl 0.3425 0.1713 0.7430
Tl 0.8287 0.1713 0.7430
In 0.6667 0.3333 0.0832
In 0.3333 0.6667 0.9168
Pb 0.0000 0.0000 0.5000


[5]
A plane-wave DFT calculation with PBE was carried out for crystalline Ba2Tl6InPb at its relaxed geometry.

Properties
Magnetization, μB per cell: 0.00
Final energy, eV per atom: -2.547
Density of states at the Fermi level, states/eV per cell: 10.7
Formation enthalpy at 0 K, eV/atom: -0.10

Cell: 7.8188 7.8188 14.8797 Å, 74.77 74.77 60.00°
Positions (direct):
Ba 0.8897 0.8897 0.3309
Ba 0.1103 0.1103 0.6691
Ba 0.7177 0.7177 0.8470
Ba 0.2823 0.2823 0.1530
Tl 0.9295 0.3342 0.4022
Tl 0.3342 0.9295 0.4022
Tl 0.3342 0.3342 0.4022
Tl 0.0705 0.6659 0.5978
Tl 0.6659 0.0705 0.5978
Tl 0.6659 0.6659 0.5978
Tl 0.6459 0.2248 0.9044
Tl 0.2248 0.6459 0.9044
Tl 0.2248 0.2248 0.9044
Tl 0.3541 0.7752 0.0956
Tl 0.7752 0.3541 0.0956
Tl 0.7752 0.7752 0.0956
In 0.0000 0.0000 0.0000
In 0.5000 0.5000 0.5000
Pb 0.5747 0.5747 0.2758
Pb 0.4253 0.4253 0.7242


[6]
A plane-wave DFT calculation with PBE was carried out for crystalline BaTmInPb at its relaxed geometry.

Properties
Magnetization, μB per cell: 0.00
Final energy, eV per atom: -3.506
Density of states at the Fermi level, states/eV per cell: 3.5
Formation enthalpy at 0 K, eV/atom: -0.30

Cell: 5.6958 5.6958 5.6958 Å, 60.00 60.00 60.00°
Positions (direct):
Pb 0.0000 0.0000 0.0000
Tm 0.2500 0.2500 0.2500
Ba 0.7500 0.7500 0.7500
In 0.5000 0.5000 0.5000


[7]
A plane-wave DFT calculation with PBE was carried out for crystalline BaInPb2W at its relaxed geometry.

Properties
Magnetization, μB per cell: 4.19
Final energy, eV per atom: -3.609
Density of states at the Fermi level, states/eV per cell: 3.8
Formation enthalpy at 0 K, eV/atom: 1.40

Cell: 5.6590 6.4321 5.6590 Å, 90.00 90.00 90.00°
Site moments in Bohr magnetons follow the coordinates.
Positions (direct):
Pb 0.0000 0.0000 0.5000  -0.05
Pb 0.5000 0.0000 0.0000  -0.05
Ba 0.0000 0.5000 0.0000  -0.01
W 0.5000 0.5000 0.5000  3.23
In 0.0000 0.0000 0.0000  0.00


[8]
A plane-wave DFT calculation with PBE was carried out for crystalline Ba2Zn3In4Pb at its relaxed geometry.

Properties
Magnetization, μB per cell: 0.00
Final energy, eV per atom: -2.529
Density of states at the Fermi level, states/eV per cell: 4.3
Formation enthalpy at 0 K, eV/atom: -0.30

Cell: 4.8784 4.8784 11.8116 Å, 90.00 90.00 90.00°
Positions (direct):
Ba 0.5000 0.0000 0.2452
Ba 0.0000 0.5000 0.7548
Zn 0.0000 0.0000 0.5000
Zn 0.5000 0.0000 0.8751
Zn 0.0000 0.5000 0.1249
In 0.5000 0.5000 0.0000
In 0.0000 0.0000 0.0000
In 0.5000 0.0000 0.6459
In 0.0000 0.5000 0.3541
Pb 0.5000 0.5000 0.5000


- Which value of formation enthalpy at 0 K does entry 7 give?
  1.40 eV/atom